# PBE YMnMo2, optimized geometry
data_YMnMo2
_chemical_formula_sum 'Y1 Mn1 Mo2'
_space_group_name_H-M_alt 'P 1 m 1'
_space_group_IT_number 6
_cell_length_a 2.9385
_cell_length_b 4.2730
_cell_length_c 5.9558
_cell_angle_alpha 90.00
_cell_angle_beta 102.36
_cell_angle_gamma 90.00
loop_
_space_group_symop_operation_xyz
'x,y,z'
'x,-y,z'
loop_
_atom_site_label
_atom_site_fract_x
_atom_site_fract_y
_atom_site_fract_z
_atom_site_occupancy
Y1 0.0000 0.0000 0.0000 1
Mn1 0.7012 0.5000 0.2910 1
Mo1 0.2810 0.5000 0.6980 1
Mo2 0.4667 0.0000 0.5006 1
# - Calculated formation energy: 0.3696 eV per atom
# - Energy above the lowest structure with this stoichiometry: 124.9 meV/atom
# - Fermi-level density of states: 3.85 states/eV per cell

***

# PBE In2AgI, optimized geometry
data_In2AgI
_chemical_formula_sum 'In8 Ag4 I4'
_space_group_name_H-M_alt 'F m -3 m'
_space_group_IT_number 225
_space_group_name_Hall '-F 4 2 3'
_cell_length_a 7.9016
_cell_length_b 7.9016
_cell_length_c 7.9016
_cell_angle_alpha 90.00
_cell_angle_beta 90.00
_cell_angle_gamma 90.00
loop_
_atom_site_label
_atom_site_fract_x
_atom_site_fract_y
_atom_site_fract_z
_atom_site_occupancy
In1 0.2500 0.2500 0.2500 1
Ag1 0.0000 0.0000 0.0000 1
I1 0.0000 0.0000 0.5000 1
# - Energy above the lowest structure with this stoichiometry: 145.6 meV/atom
# - E_form (uncorrected): 0.107 eV/atom
# - Fermi-level density of states: 1.92 states/eV per cell

***

# PBE YThB, optimized geometry
data_YThB
_chemical_formula_sum 'Y4 Th4 B4'
_space_group_name_H-M_alt 'P n m a'
_space_group_IT_number 62
_cell_length_a 12.4525
_cell_length_b 3.8301
_cell_length_c 6.2813
_cell_angle_alpha 90.00
_cell_angle_beta 90.00
_cell_angle_gamma 90.00
loop_
_space_group_symop_operation_xyz
'x,y,z'
'-x,-y,-z'
'-x+1/2,-y,z+1/2'
'x+1/2,y,-z+1/2'
'x+1/2,-y+1/2,-z+1/2'
'-x+1/2,y+1/2,z+1/2'
'-x,y+1/2,-z'
'x,-y+1/2,z'
loop_
_atom_site_label
_atom_site_fract_x
_atom_site_fract_y
_atom_site_fract_z
_atom_site_occupancy
Y1 0.2408 0.2500 0.0954 1
Th1 0.0105 0.2500 0.7528 1
B1 0.1256 0.7500 0.9245 1
# - Calculated formation energy: -0.0126 eV per atom
# - Fermi-level density of states: 14.16 states/eV per cell

***

# PBE CaCu2Ag, optimized geometry
data_CaCu2Ag
_chemical_formula_sum 'Ca4 Cu8 Ag4'
_space_group_name_H-M_alt 'F -4 3 m'
_space_group_IT_number 216
_space_group_name_Hall 'F -4 2 3'
_cell_length_a 6.6361
_cell_length_b 6.6361
_cell_length_c 6.6361
_cell_angle_alpha 90.00
_cell_angle_beta 90.00
_cell_angle_gamma 90.00
loop_
_atom_site_label
_atom_site_fract_x
_atom_site_fract_y
_atom_site_fract_z
_atom_site_occupancy
Ca1 0.0000 0.0000 0.0000 1
Cu1 0.0000 0.0000 0.5000 1
Cu2 0.2500 0.2500 0.2500 1
Ag1 0.2500 0.2500 0.7500 1
# - Calculated formation energy: 0.0381 eV per atom
# - Energy above the lowest structure with this stoichiometry: 115.7 meV/atom
# - Fermi-level density of states: 4.79 states/eV per cell

***

# PBE CeFe3H6, optimized geometry
data_CeFe3H6
_chemical_formula_sum 'Ce1 Fe3 H6'
_space_group_name_H-M_alt 'P 1'
_space_group_IT_number 1
_cell_length_a 4.7101
_cell_length_b 4.7133
_cell_length_c 4.9799
_cell_angle_alpha 61.84
_cell_angle_beta 89.96
_cell_angle_gamma 60.02
loop_
_space_group_symop_operation_xyz
'x,y,z'
loop_
_atom_site_label
_atom_site_fract_x
_atom_site_fract_y
_atom_site_fract_z
_atom_site_occupancy
Ce1 0.0000 0.0000 0.0000 1
Fe1 0.2426 0.5141 0.7291 1
Fe2 0.4426 0.1146 0.3291 1
Fe3 0.7827 0.4345 0.3490 1
H1 0.0177 0.4642 0.0737 1
H2 0.1642 0.9779 0.5343 1
H3 0.5126 0.3218 0.5355 1
H4 0.5188 0.9426 0.0751 1
H5 0.5376 0.4447 0.0740 1
H6 0.8565 0.6310 0.5351 1
# - Fermi-level density of states: 5.14 states/eV per cell

***

# PBE Ta2RhBr, optimized geometry
data_Ta2RhBr
_chemical_formula_sum 'Ta2 Rh1 Br1'
_space_group_name_H-M_alt 'P 1 2/m 1'
_space_group_IT_number 10
_cell_length_a 4.7290
_cell_length_b 2.9677
_cell_length_c 5.3368
_cell_angle_alpha 90.00
_cell_angle_beta 108.69
_cell_angle_gamma 90.00
loop_
_space_group_symop_operation_xyz
'x,y,z'
'-x,-y,-z'
'-x,y,-z'
'x,-y,z'
loop_
_atom_site_label
_atom_site_fract_x
_atom_site_fract_y
_atom_site_fract_z
_atom_site_occupancy
Ta1 0.0000 0.0000 0.0000 1
Ta2 0.5000 0.5000 0.5000 1
Rh1 0.0000 0.0000 0.5000 1
Br1 0.5000 0.5000 0.0000 1
# - Energy above the lowest structure with this stoichiometry: 372.4 meV/atom
# - E_form (uncorrected): 0.389 eV/atom
# - Fermi-level density of states: 3.26 states/eV per cell

***

# PBE PrPuAs2, optimized geometry
data_PrPuAs2
_chemical_formula_sum 'Pr3 Pu3 As6'
_space_group_name_H-M_alt 'R 3 m'
_space_group_IT_number 160
_space_group_name_Hall 'R 3 -2"'
_cell_length_a 4.1830
_cell_length_b 4.1830
_cell_length_c 21.4199
_cell_angle_alpha 90.00
_cell_angle_beta 90.00
_cell_angle_gamma 120.00
loop_
_atom_site_label
_atom_site_fract_x
_atom_site_fract_y
_atom_site_fract_z
_atom_site_occupancy
Pr1 0.0000 0.0000 0.0000 1
Pu1 0.0000 0.0000 0.1718 1
As1 0.0000 0.0000 0.5807 1
As2 0.0000 0.0000 0.7587 1
# - Calculated formation energy: -1.1165 eV per atom
# - Energy above the lowest structure with this stoichiometry: 137.2 meV/atom
# - Fermi-level density of states: 33.77 states/eV per cell

***

# PBE Y3Er2Tm2, optimized geometry
data_Y3Er2Tm2
_chemical_formula_sum 'Y6 Er4 Tm4'
_space_group_name_H-M_alt 'C 1 2/m 1'
_space_group_IT_number 12
_cell_length_a 23.3012
_cell_length_b 5.4229
_cell_length_c 3.5208
_cell_angle_alpha 90.00
_cell_angle_beta 98.67
_cell_angle_gamma 90.00
loop_
_space_group_symop_operation_xyz
'x,y,z'
'-x,-y,-z'
'-x,y,-z'
'x,-y,z'
'x+1/2,y+1/2,z'
'-x+1/2,-y+1/2,-z'
'-x+1/2,y+1/2,-z'
'x+1/2,-y+1/2,z'
loop_
_atom_site_label
_atom_site_fract_x
_atom_site_fract_y
_atom_site_fract_z
_atom_site_occupancy
Y1 0.0000 0.0000 0.0000 1
Y2 0.2241 0.5000 0.2235 1
Er1 0.0800 0.5000 0.5804 1
Tm1 0.1418 0.0000 0.1428 1
# - Calculated formation energy: 0.0492 eV per atom
# - Energy above the lowest structure with this stoichiometry: 0.0 meV/atom
# - Fermi-level density of states: 27.53 states/eV per cell

***

# PBE PuURh3, optimized geometry
data_PuURh3
_chemical_formula_sum 'Pu4 U4 Rh12'
_space_group_name_H-M_alt 'C 1 2/m 1'
_space_group_IT_number 12
_cell_length_a 12.5022
_cell_length_b 4.6468
_cell_length_c 6.4494
_cell_angle_alpha 90.00
_cell_angle_beta 105.15
_cell_angle_gamma 90.00
loop_
_space_group_symop_operation_xyz
'x,y,z'
'-x,-y,-z'
'-x,y,-z'
'x,-y,z'
'x+1/2,y+1/2,z'
'-x+1/2,-y+1/2,-z'
'-x+1/2,y+1/2,-z'
'x+1/2,-y+1/2,z'
loop_
_atom_site_label
_atom_site_fract_x
_atom_site_fract_y
_atom_site_fract_z
_atom_site_occupancy
Pu1 0.1299 0.0000 0.4466 1
U1 0.0155 0.5000 0.2541 1
Rh1 0.0928 0.0000 0.9130 1
Rh2 0.1852 0.5000 0.7361 1
Rh3 0.1905 0.5000 0.1563 1
# - Calculated formation energy: -0.3850 eV per atom
# - Fermi-level density of states: 40.70 states/eV per cell

***

# PBE Cs5V2S6, optimized geometry
data_Cs5V2S6
_chemical_formula_sum 'Cs10 V4 S12'
_space_group_name_H-M_alt 'P b a m'
_space_group_IT_number 55
_cell_length_a 13.5360
_cell_length_b 16.6713
_cell_length_c 4.0964
_cell_angle_alpha 90.00
_cell_angle_beta 90.00
_cell_angle_gamma 90.00
loop_
_space_group_symop_operation_xyz
'x,y,z'
'-x,-y,-z'
'-x,-y,z'
'x,y,-z'
'x+1/2,-y+1/2,-z'
'-x+1/2,y+1/2,z'
'-x+1/2,y+1/2,-z'
'x+1/2,-y+1/2,z'
loop_
_atom_site_label
_atom_site_fract_x
_atom_site_fract_y
_atom_site_fract_z
_atom_site_occupancy
Cs1 0.0000 0.0000 0.0000 1
Cs2 0.0444 0.2355 0.0000 1
Cs3 0.1567 0.4723 0.0000 1
V1 0.1992 0.6783 0.5000 1
S1 0.0535 0.6187 0.5000 1
S2 0.1744 0.0913 0.5000 1
S3 0.2071 0.7513 0.0000 1
# - E_form (uncorrected): -1.022 eV/atom
# - Fermi-level density of states: 15.81 states/eV per cell

***

# PBE Ac2Pm3UN6, optimized geometry
data_Ac2Pm3UN6
_chemical_formula_sum 'Ac4 Pm6 U2 N12'
_space_group_name_H-M_alt 'C 1 2/m 1'
_space_group_IT_number 12
_cell_length_a 6.3918
_cell_length_b 11.1681
_cell_length_c 6.2864
_cell_angle_alpha 90.00
_cell_angle_beta 109.85
_cell_angle_gamma 90.00
loop_
_space_group_symop_operation_xyz
'x,y,z'
'-x,-y,-z'
'-x,y,-z'
'x,-y,z'
'x+1/2,y+1/2,z'
'-x+1/2,-y+1/2,-z'
'-x+1/2,y+1/2,-z'
'x+1/2,-y+1/2,z'
loop_
_atom_site_label
_atom_site_fract_x
_atom_site_fract_y
_atom_site_fract_z
_atom_site_occupancy
Ac1 0.0000 0.1673 0.0000 1
Pm1 0.0000 0.0000 0.5000 1
Pm2 0.0000 0.3421 0.5000 1
U1 0.0000 0.5000 0.0000 1
N1 0.2149 0.5000 0.7548 1
N2 0.2200 0.3590 0.2343 1
# - E_form (uncorrected): -1.310 eV/atom
# - Fermi-level density of states: 10.15 states/eV per cell

***

# PBE SmReBi, optimized geometry
data_SmReBi
_chemical_formula_sum 'Sm2 Re2 Bi2'
_space_group_name_H-M_alt 'P -1'
_space_group_IT_number 2
_cell_length_a 3.2175
_cell_length_b 3.2412
_cell_length_c 15.0459
_cell_angle_alpha 91.48
_cell_angle_beta 90.67
_cell_angle_gamma 90.15
loop_
_space_group_symop_operation_xyz
'x,y,z'
'-x,-y,-z'
loop_
_atom_site_label
_atom_site_fract_x
_atom_site_fract_y
_atom_site_fract_z
_atom_site_occupancy
Sm1 0.2393 0.2275 0.3102 1
Re1 0.2525 0.2554 0.5430 1
Bi1 0.2714 0.2965 0.8701 1
# - Calculated formation energy: -0.1068 eV per atom
# - Fermi-level density of states: 3.50 states/eV per cell

***

# PBE TmPH, optimized geometry
data_TmPH
_chemical_formula_sum 'Tm2 P2 H2'
_space_group_name_H-M_alt 'P -1'
_space_group_IT_number 2
_cell_length_a 3.8631
_cell_length_b 5.2660
_cell_length_c 5.6430
_cell_angle_alpha 63.99
_cell_angle_beta 70.01
_cell_angle_gamma 68.53
loop_
_space_group_symop_operation_xyz
'x,y,z'
'-x,-y,-z'
loop_
_atom_site_label
_atom_site_fract_x
_atom_site_fract_y
_atom_site_fract_z
_atom_site_occupancy
Tm1 0.2112 0.3172 0.2600 1
P1 0.4790 0.7152 0.3285 1
H1 0.1904 0.7042 0.9157 1
# - Energy above the lowest structure with this stoichiometry: 0.0 meV/atom
# - Fermi-level density of states: 0.40 states/eV per cell

***

# PBE SrYSnHg, optimized geometry
data_SrYSnHg
_chemical_formula_sum 'Sr4 Y4 Sn4 Hg4'
_space_group_name_H-M_alt 'F -4 3 m'
_space_group_IT_number 216
_space_group_name_Hall 'F -4 2 3'
_cell_length_a 7.7577
_cell_length_b 7.7577
_cell_length_c 7.7577
_cell_angle_alpha 90.00
_cell_angle_beta 90.00
_cell_angle_gamma 90.00
loop_
_atom_site_label
_atom_site_fract_x
_atom_site_fract_y
_atom_site_fract_z
_atom_site_occupancy
Sr1 0.0000 0.0000 0.0000 1
Y1 0.0000 0.0000 0.5000 1
Sn1 0.2500 0.2500 0.2500 1
Hg1 0.2500 0.2500 0.7500 1
# - Calculated formation energy: -0.5401 eV per atom
# - Fermi-level density of states: 13.91 states/eV per cell

***

# PBE LiTb2NpTe4, optimized geometry
data_LiTb2NpTe4
_chemical_formula_sum 'Li1 Tb2 Np1 Te4'
_space_group_name_H-M_alt 'P 1 2/m 1'
_space_group_IT_number 10
_cell_length_a 7.5697
_cell_length_b 4.3503
_cell_length_c 7.5776
_cell_angle_alpha 90.00
_cell_angle_beta 109.48
_cell_angle_gamma 90.00
loop_
_space_group_symop_operation_xyz
'x,y,z'
'-x,-y,-z'
'-x,y,-z'
'x,-y,z'
loop_
_atom_site_label
_atom_site_fract_x
_atom_site_fract_y
_atom_site_fract_z
_atom_site_occupancy
Li1 0.0000 0.0000 0.0000 1
Tb1 0.5000 0.0000 0.5000 1
Tb2 0.5000 0.5000 0.0000 1
Np1 0.0000 0.5000 0.5000 1
Te1 0.2445 0.5000 0.2412 1
Te2 0.2474 0.0000 0.7558 1
# - E_form (uncorrected): -1.113 eV/atom
# - Fermi-level density of states: 14.14 states/eV per cell

***

# PBE TaFe2As, optimized geometry
data_TaFe2As
_chemical_formula_sum 'Ta2 Fe4 As2'
_space_group_name_H-M_alt 'I -4 m 2'
_space_group_IT_number 119
_space_group_name_Hall 'I -4 -2'
_cell_length_a 3.6278
_cell_length_b 3.6278
_cell_length_c 8.1092
_cell_angle_alpha 90.00
_cell_angle_beta 90.00
_cell_angle_gamma 90.00
loop_
_atom_site_label
_atom_site_fract_x
_atom_site_fract_y
_atom_site_fract_z
_atom_site_occupancy
Ta1 0.0000 0.0000 0.0000 1
Fe1 0.0000 0.0000 0.5000 1
Fe2 0.0000 0.5000 0.2500 1
As1 0.0000 0.5000 0.7500 1
# - Calculated formation energy: -0.0144 eV per atom
# - Fermi-level density of states: 7.67 states/eV per cell

***

# PBE Tl2ReCl, optimized geometry
data_Tl2ReCl
_chemical_formula_sum 'Tl8 Re4 Cl4'
_space_group_name_H-M_alt 'F -4 3 m'
_space_group_IT_number 216
_space_group_name_Hall 'F -4 2 3'
_cell_length_a 7.3480
_cell_length_b 7.3480
_cell_length_c 7.3480
_cell_angle_alpha 90.00
_cell_angle_beta 90.00
_cell_angle_gamma 90.00
loop_
_atom_site_label
_atom_site_fract_x
_atom_site_fract_y
_atom_site_fract_z
_atom_site_occupancy
Tl1 0.0000 0.0000 0.0000 1
Tl2 0.2500 0.2500 0.2500 1
Re1 0.2500 0.2500 0.7500 1
Cl1 0.0000 0.0000 0.5000 1
# - Energy above the lowest structure with this stoichiometry: 597.3 meV/atom
# - E_form (uncorrected): 1.076 eV/atom
# - Fermi-level density of states: 6.92 states/eV per cell

***

# PBE LiZn2BiAu4, optimized geometry
data_LiZn2BiAu4
_chemical_formula_sum 'Li3 Zn6 Bi3 Au12'
_space_group_name_H-M_alt 'R -3 m'
_space_group_IT_number 166
_space_group_name_Hall '-R 3 2"'
_cell_length_a 4.4798
_cell_length_b 4.4798
_cell_length_c 25.6774
_cell_angle_alpha 90.00
_cell_angle_beta 90.00
_cell_angle_gamma 120.00
loop_
_atom_site_label
_atom_site_fract_x
_atom_site_fract_y
_atom_site_fract_z
_atom_site_occupancy
Li1 0.0000 0.0000 0.0000 1
Zn1 0.0000 0.0000 0.2647 1
Bi1 0.0000 0.0000 0.5000 1
Au1 0.0000 0.0000 0.1032 1
Au2 0.0000 0.0000 0.3708 1
# - Calculated formation energy: -0.2408 eV per atom
# - Fermi-level density of states: 7.93 states/eV per cell

***

# PBE LiNbIn2, optimized geometry
data_LiNbIn2
_chemical_formula_sum 'Li1 Nb1 In2'
_space_group_name_H-M_alt 'P 4/m m m'
_space_group_IT_number 123
_space_group_name_Hall '-P 4 2'
_cell_length_a 3.1779
_cell_length_b 3.1779
_cell_length_c 7.5188
_cell_angle_alpha 90.00
_cell_angle_beta 90.00
_cell_angle_gamma 90.00
loop_
_atom_site_label
_atom_site_fract_x
_atom_site_fract_y
_atom_site_fract_z
_atom_site_occupancy
Li1 0.0000 0.0000 0.0000 1
Nb1 0.0000 0.0000 0.5000 1
In1 0.5000 0.5000 0.2323 1
# - Calculated formation energy: -0.0652 eV per atom
# - Energy above the lowest structure with this stoichiometry: 29.4 meV/atom
# - Fermi-level density of states: 1.61 states/eV per cell

***

# PBE BaHPd, optimized geometry
data_BaHPd
_chemical_formula_sum 'Ba1 H1 Pd1'
_space_group_name_H-M_alt 'P -6 m 2'
_space_group_IT_number 187
_space_group_name_Hall 'P -6 2'
_cell_length_a 4.1983
_cell_length_b 4.1983
_cell_length_c 4.1704
_cell_angle_alpha 90.00
_cell_angle_beta 90.00
_cell_angle_gamma 120.00
loop_
_atom_site_label
_atom_site_fract_x
_atom_site_fract_y
_atom_site_fract_z
_atom_site_occupancy
Ba1 0.0000 0.0000 0.0000 1
H1 0.3333 0.6667 0.5000 1
Pd1 0.6667 0.3333 0.5000 1
# - Energy above the lowest structure with this stoichiometry: 340.7 meV/atom
# - Fermi-level density of states: 1.64 states/eV per cell

***

no.,E_tot (eV/cell)
1,-35.82
2,-37.80
3,-82.40
4,-51.57
5,-52.52
6,-31.17
7,-98.63
8,-74.23
9,-198.40
10,-121.11
11,-198.87
12,-42.74
13,-31.72
14,-58.44
15,-45.58
16,-66.97
17,-58.89
18,-70.14
19,-17.72
20,-10.94